The following is a DFT calculation (PBE+U) of InW3F after structural relaxation.

Computed properties:
E, eV/atom: -3.951
Distance to the lowest polymorph of the same formula, meV per atom: 0.0
Density, g/cm3: 13.40

Cell: 4.395 4.395 4.395 Å, 90.00 90.00 90.00°
Positions (direct):
1 In 0.000 0.000 0.000
2 W 0.000 0.500 0.500
3 W 0.500 0.000 0.500
4 W 0.500 0.500 0.000
5 F 0.500 0.500 0.500